No. 1
{"formula": "CaDyMg", "functional": "PBE", "state": "relaxed", "cell": [[-1.8678, 1.8678, 6.7806], [1.8678, -1.8678, 6.7806], [1.8678, 1.8678, -6.7806]], "species": ["Ca", "Dy", "Mg"], "fractional_positions": [[0.0000, 0.0000, 0.0000], [0.3011, 0.3011, 0.0000], [0.6588, 0.6588, 0.0000]], "e_above_lowest_polymorph_mev_per_atom": 51, "final_energy_ev_per_atom": -2.7186, "e_form_mev_per_atom": 14}



No. 2
{"formula": "CaDy2Mg4", "functional": "PBE", "state": "relaxed", "cell": [[-3.9864, 3.9864, 3.4578], [3.9864, -3.9864, 3.4578], [3.9864, 3.9864, -3.4578]], "species": ["Ca", "Dy", "Dy", "Mg", "Mg", "Mg", "Mg"], "fractional_positions": [[0.0000, 0.0000, 0.0000], [0.0000, 0.5000, 0.5000], [0.5000, 0.0000, 0.5000], [0.0000, 0.0000, 0.5000], [0.0000, 0.5000, 0.0000], [0.5000, 0.0000, 0.0000], [0.5000, 0.5000, 0.5000]], "final_energy_ev_per_atom": -2.3964, "e_form_mev_per_atom": 116}



No. 3
{"formula": "CaDy2Mg", "functional": "PBE", "state": "relaxed", "cell": [[0.0000, 3.9397, 3.9397], [3.9397, 0.0000, 3.9397], [3.9397, 3.9397, 0.0000]], "species": ["Ca", "Dy", "Dy", "Mg"], "fractional_positions": [[0.0000, 0.0000, 0.0000], [0.2500, 0.2500, 0.2500], [0.7500, 0.7500, 0.7500], [0.5000, 0.5000, 0.5000]], "e_above_lowest_polymorph_mev_per_atom": 54, "final_energy_ev_per_atom": -3.1134, "e_form_mev_per_atom": 87}



No. 4
{"formula": "CaDyMg", "functional": "PBE", "state": "relaxed", "cell": [[5.6302, 0.0000, 0.0000], [-2.8151, 4.8759, 0.0000], [0.0000, 0.0000, 3.4015]], "species": ["Ca", "Dy", "Mg"], "fractional_positions": [[0.0000, 0.0000, 0.0000], [0.6667, 0.3333, 0.3925], [0.3333, 0.6667, 0.7573]], "e_above_lowest_polymorph_mev_per_atom": 126, "final_energy_ev_per_atom": -2.6430, "e_form_mev_per_atom": 90}



No. 5
{"formula": "CaDy2Mg", "functional": "PBE", "state": "relaxed", "cell": [[5.0583, 0.0000, 0.0000], [0.0000, 5.0583, 0.0000], [0.0000, 0.0000, 4.8854]], "species": ["Ca", "Dy", "Dy", "Mg"], "fractional_positions": [[0.0000, 0.0000, 0.0000], [0.0000, 0.5000, 0.5000], [0.5000, 0.0000, 0.5000], [0.5000, 0.5000, 0.0000]], "e_above_lowest_polymorph_mev_per_atom": 68, "final_energy_ev_per_atom": -3.0994, "e_form_mev_per_atom": 101}



No. 6
{"formula": "CaDy5Mg4", "functional": "PBE", "state": "relaxed", "cell": [[3.7935, 0.0000, 0.0000], [0.0000, 3.7935, 0.0000], [0.0000, 0.0000, 20.1622]], "species": ["Ca", "Dy", "Dy", "Dy", "Dy", "Dy", "Mg", "Mg", "Mg", "Mg"], "fractional_positions": [[0.0000, 0.0000, 0.0000], [0.5000, 0.5000, 0.1307], [0.5000, 0.5000, 0.3128], [0.5000, 0.5000, 0.5000], [0.5000, 0.5000, 0.6872], [0.5000, 0.5000, 0.8693], [0.0000, 0.0000, 0.2214], [0.0000, 0.0000, 0.4063], [0.0000, 0.0000, 0.5937], [0.0000, 0.0000, 0.7786]], "final_energy_ev_per_atom": -3.1708, "e_form_mev_per_atom": -32}



No. 7
{"formula": "CaDyMg6", "functional": "PBE", "state": "relaxed", "cell": [[5.2042, 0.0000, 0.0000], [0.0000, 3.5521, 5.6304], [0.0000, -3.5521, 5.6304]], "species": ["Ca", "Dy", "Mg", "Mg", "Mg", "Mg", "Mg", "Mg"], "fractional_positions": [[0.0000, 0.0000, 0.0000], [0.5000, 0.7113, 0.7113], [0.0000, 0.0368, 0.4897], [0.0000, 0.4897, 0.0368], [0.0000, 0.5267, 0.5267], [0.5000, 0.1933, 0.1933], [0.5000, 0.2270, 0.6691], [0.5000, 0.6691, 0.2270]], "final_energy_ev_per_atom": -2.0771, "e_form_mev_per_atom": -56}



No. 8
{"formula": "CaDy3Mg6", "functional": "PBE", "state": "relaxed", "cell": [[9.2856, 0.0000, 0.0000], [0.0000, 5.3356, 0.0000], [-3.1479, 0.0000, 10.9244]], "species": ["Ca", "Ca", "Dy", "Dy", "Dy", "Dy", "Dy", "Dy", "Mg", "Mg", "Mg", "Mg", "Mg", "Mg", "Mg", "Mg", "Mg", "Mg", "Mg", "Mg"], "fractional_positions": [[0.0520, 0.2500, 0.3939], [0.9480, 0.7500, 0.6061], [0.2529, 0.2500, 0.9952], [0.3568, 0.7500, 0.8019], [0.4601, 0.2500, 0.6049], [0.5399, 0.7500, 0.3951], [0.6432, 0.2500, 0.1981], [0.7471, 0.7500, 0.0048], [0.0497, 0.7500, 0.9073], [0.1458, 0.7500, 0.1961], [0.1534, 0.2500, 0.7010], [0.2518, 0.7500, 0.4986], [0.3427, 0.2500, 0.2921], [0.4389, 0.7500, 0.1010], [0.5611, 0.2500, 0.8990], [0.6573, 0.7500, 0.7079], [0.7482, 0.2500, 0.5014], [0.8466, 0.7500, 0.2990], [0.8542, 0.2500, 0.8039], [0.9503, 0.2500, 0.0927]], "final_energy_ev_per_atom": -2.5924, "e_form_mev_per_atom": -55}



No. 9
{"formula": "Ca2DyMg", "functional": "PBE", "state": "relaxed", "cell": [[4.1791, 0.0000, 0.0000], [0.0000, 4.1791, 0.0000], [0.0000, 0.0000, 7.6400]], "species": ["Ca", "Ca", "Dy", "Mg"], "fractional_positions": [[0.0000, 0.0000, 0.2375], [0.0000, 0.0000, 0.7625], [0.5000, 0.5000, 0.5000], [0.5000, 0.5000, 0.0000]], "e_above_lowest_polymorph_mev_per_atom": 0, "final_energy_ev_per_atom": -2.4734, "e_form_mev_per_atom": 77}



No. 10
{"formula": "CaDyMg4", "functional": "PBE", "state": "relaxed", "cell": [[0.0000, 4.3222, 4.3222], [4.3222, 0.0000, 4.3222], [4.3222, 4.3222, 0.0000]], "species": ["Ca", "Dy", "Mg", "Mg", "Mg", "Mg"], "fractional_positions": [[0.0000, 0.0000, 0.0000], [0.7500, 0.7500, 0.7500], [0.3758, 0.3758, 0.3758], [0.3758, 0.3758, 0.8727], [0.3758, 0.8727, 0.3758], [0.8727, 0.3758, 0.3758]], "final_energy_ev_per_atom": -2.2385, "e_form_mev_per_atom": -75}